# 1
A plane-wave DFT calculation with PBE with a Hubbard U was carried out for a geometry-optimized Na4Co7O14 structure.

Output
The calculation puts the total DFT energy (no corrections) at -5.56 eV per atom. The density comes out at 4.66 g/cm³. Its total magnetization is 5.989 Bohr magnetons per cell. The space group is No. 11.

a b c (Å): 7.434 7.422 10.871
angles (deg): 90.00 90.00 119.99
Atoms (fractional coordinates):
Co  0.000  0.000  0.000
Co  0.428  0.144  0.001
Co  0.858  0.285  0.001
Co  0.715  0.571  0.002
Co  0.715  0.571  0.498
Co  0.858  0.285  0.499
Co  0.428  0.144  0.499
Co  0.000  0.000  0.500
Co  0.572  0.856  0.501
Co  0.142  0.715  0.501
Co  0.285  0.429  0.502
Co  0.285  0.429  0.998
Co  0.142  0.715  0.999
Co  0.572  0.856  0.999
Na  0.598  0.053  0.250
Na  0.454  0.410  0.250
Na  0.951  0.546  0.250
Na  0.001  0.996  0.250
Na  0.999  0.004  0.750
Na  0.049  0.454  0.750
Na  0.546  0.590  0.750
Na  0.402  0.947  0.750
O  0.095  0.477  0.086
O  0.524  0.624  0.088
O  0.380  0.904  0.088
O  0.955  0.762  0.091
O  0.240  0.191  0.092
O  0.807  0.044  0.092
O  0.665  0.331  0.096
O  0.665  0.331  0.404
O  0.807  0.044  0.408
O  0.240  0.191  0.408
O  0.955  0.762  0.409
O  0.380  0.904  0.412
O  0.524  0.624  0.412
O  0.095  0.477  0.414
O  0.905  0.523  0.586
O  0.476  0.376  0.588
O  0.620  0.096  0.588
O  0.045  0.238  0.591
O  0.760  0.809  0.592
O  0.193  0.956  0.592
O  0.335  0.669  0.596
O  0.335  0.669  0.904
O  0.193  0.956  0.908
O  0.760  0.809  0.908
O  0.045  0.238  0.909
O  0.620  0.096  0.912
O  0.476  0.376  0.912
O  0.905  0.523  0.914

=====

# 2
A plane-wave DFT calculation with PBE with a Hubbard U was carried out for a geometry-optimized NaCoO3 structure.

Output
The calculation puts the total DFT energy (no corrections) at -4.98 eV per atom. The density comes out at 4.22 g/cm³. Its total magnetization is 3.983 Bohr magnetons per cell. The space group is No. 221.

a b c (Å): 3.711 3.711 3.711
angles (deg): 90.00 90.00 90.00
Each line ends with the local moment (μB).
Atoms (fractional coordinates):
Co  0.500  0.500  0.500  2.40
Na  0.000  0.000  0.000  0.00
O  0.500  0.500  0.000  0.19
O  0.500  0.000  0.500  0.43
O  0.000  0.500  0.500  0.68